Entry 1:
Below is a relaxed TaAlRu crystal, with properties calculated at the PBE level.

Structure (CIF):
```
data_TaAlRu
_cell_length_a 3.0803
_cell_length_b 3.0803
_cell_length_c 9.7920
_cell_angle_alpha 90.00
_cell_angle_beta 90.00
_cell_angle_gamma 90.00
_space_group_name_H-M_alt 'I 4 m m'
_space_group_IT_number 107
_space_group_name_Hall 'I 4 -2'
loop_
_atom_site_label
_atom_site_type_symbol
_atom_site_fract_x
_atom_site_fract_y
_atom_site_fract_z
Ta1 Ta 0.0000 0.0000 0.0000
Al1 Al 0.0000 0.0000 0.6877
Ru1 Ru 0.0000 0.0000 0.3417
```

Values from the calculation:
Volume ... 15.5 Å³/atom
Calculated formation energy ... -44.3 kJ per mole of atoms

Entry 2:
Below is a relaxed CdGa2TcIr crystal, with properties calculated at the PBE level.

Structure (CIF):
```
data_CdGa2TcIr
_cell_length_a 4.7021
_cell_length_b 4.7021
_cell_length_c 5.1225
_cell_angle_alpha 90.00
_cell_angle_beta 90.00
_cell_angle_gamma 90.00
_space_group_name_H-M_alt 'P 4/m m m'
_space_group_IT_number 123
_space_group_name_Hall '-P 4 2'
loop_
_atom_site_label
_atom_site_type_symbol
_atom_site_fract_x
_atom_site_fract_y
_atom_site_fract_z
Cd1 Cd 0.0000 0.0000 0.0000
Ga1 Ga 0.0000 0.5000 0.0000
Tc1 Tc 0.0000 0.0000 0.5000
Ir1 Ir 0.5000 0.5000 0.5000
```

Values from the calculation:
Volume ... 22.7 Å³/atom
Calculated formation energy ... 168.9 kJ per mole of atoms

Entry 3:
Below is a relaxed NdPu2Pd3 crystal, with properties calculated at the PBE level.

Structure (CIF):
```
data_NdPu2Pd3
_cell_length_a 3.5378
_cell_length_b 3.5378
_cell_length_c 10.7853
_cell_angle_alpha 90.00
_cell_angle_beta 90.00
_cell_angle_gamma 90.00
_space_group_name_H-M_alt 'P 4/m m m'
_space_group_IT_number 123
_space_group_name_Hall '-P 4 2'
loop_
_atom_site_label
_atom_site_type_symbol
_atom_site_fract_x
_atom_site_fract_y
_atom_site_fract_z
Nd1 Nd 0.0000 0.0000 0.0000
Pu1 Pu 0.0000 0.0000 0.3377
Pd1 Pd 0.5000 0.5000 0.1706
Pd2 Pd 0.5000 0.5000 0.5000
```

Values from the calculation:
Volume ... 22.5 Å³/atom
Calculated formation energy ... -49.0 kJ per mole of atoms

Entry 4:
Below is a relaxed TcGeN crystal, with properties calculated at the PBE level.

Structure (CIF):
```
data_TcGeN
_cell_length_a 4.9627
_cell_length_b 2.9142
_cell_length_c 5.5068
_cell_angle_alpha 90.00
_cell_angle_beta 90.31
_cell_angle_gamma 90.00
_space_group_name_H-M_alt 'P 1 m 1'
_space_group_IT_number 6
loop_
_space_group_symop_operation_xyz
'x,y,z'
'x,-y,z'
loop_
_atom_site_label
_atom_site_type_symbol
_atom_site_fract_x
_atom_site_fract_y
_atom_site_fract_z
Tc1 Tc 0.0000 0.0000 0.0000
Tc2 Tc 0.2450 0.5000 0.4327
Ge1 Ge 0.4972 0.0000 0.1079
Ge2 Ge 0.6576 0.0000 0.6063
N1 N 0.1047 0.5000 0.7755
N2 N 0.9619 0.0000 0.3756
```

Values from the calculation:
Polymorph energy (0 for the lowest one) ... 0.145 eV per atom
Volume ... 13.3 Å³/atom

Entry 5:
Below is a relaxed PmZn2Ge2 crystal, with properties calculated at the PBE level.

Structure (CIF):
```
data_PmZn2Ge2
_cell_length_a 8.5045
_cell_length_b 4.2040
_cell_length_c 10.9946
_cell_angle_alpha 90.00
_cell_angle_beta 90.00
_cell_angle_gamma 90.00
_space_group_name_H-M_alt 'P n m a'
_space_group_IT_number 62
loop_
_space_group_symop_operation_xyz
'x,y,z'
'-x,-y,-z'
'-x+1/2,-y,z+1/2'
'x+1/2,y,-z+1/2'
'x+1/2,-y+1/2,-z+1/2'
'-x+1/2,y+1/2,z+1/2'
'-x,y+1/2,-z'
'x,-y+1/2,z'
loop_
_atom_site_label
_atom_site_type_symbol
_atom_site_fract_x
_atom_site_fract_y
_atom_site_fract_z
Pm1 Pm 0.2104 0.2500 0.1705
Zn1 Zn 0.0773 0.2500 0.4496
Zn2 Zn 0.2050 0.2500 0.8680
Ge1 Ge 0.0080 0.2500 0.6865
Ge2 Ge 0.1121 0.7500 0.9776
```

Values from the calculation:
Volume ... 19.7 Å³/atom
Calculated formation energy ... -34.6 kJ per mole of atoms

Entry 6:
Below is a relaxed FeTcNiPt crystal, with properties calculated at the PBE level.

Structure (CIF):
```
data_FeTcNiPt
_cell_length_a 5.9607
_cell_length_b 5.9607
_cell_length_c 5.9607
_cell_angle_alpha 90.00
_cell_angle_beta 90.00
_cell_angle_gamma 90.00
_space_group_name_H-M_alt 'F -4 3 m'
_space_group_IT_number 216
_space_group_name_Hall 'F -4 2 3'
loop_
_atom_site_label
_atom_site_type_symbol
_atom_site_fract_x
_atom_site_fract_y
_atom_site_fract_z
Fe1 Fe 0.0000 0.0000 0.0000
Tc1 Tc 0.2500 0.2500 0.7500
Ni1 Ni 0.0000 0.0000 0.5000
Pt1 Pt 0.2500 0.2500 0.2500
```

Values from the calculation:
Volume ... 13.2 Å³/atom
Calculated formation energy ... 0.9 kJ per mole of atoms

Entry 7:
Below is a relaxed TbFeGe3Rh crystal, with properties calculated at the PBE level.

Structure (CIF):
```
data_TbFeGe3Rh
_cell_length_a 7.5487
_cell_length_b 10.9934
_cell_length_c 5.6681
_cell_angle_alpha 90.00
_cell_angle_beta 90.00
_cell_angle_gamma 90.00
_space_group_name_H-M_alt 'C m c m'
_space_group_IT_number 63
_space_group_name_Hall '-C 2c 2'
loop_
_atom_site_label
_atom_site_type_symbol
_atom_site_fract_x
_atom_site_fract_y
_atom_site_fract_z
Tb1 Tb 0.0000 0.2467 0.2500
Fe1 Fe 0.0000 0.0409 0.7500
Ge1 Ge 0.0000 0.2415 0.7500
Ge2 Ge 0.2408 0.0000 0.0000
Rh1 Rh 0.0000 0.4539 0.7500
```

Values from the calculation:
Volume ... 19.6 Å³/atom
Calculated formation energy ... -25.1 kJ per mole of atoms

Entry 8:
Below is a relaxed La4Sm2Dy2Y crystal, with properties calculated at the PBE level.

Structure (CIF):
```
data_La4Sm2Dy2Y
_cell_length_a 15.5162
_cell_length_b 5.1820
_cell_length_c 8.1535
_cell_angle_alpha 90.00
_cell_angle_beta 108.58
_cell_angle_gamma 90.00
_space_group_name_H-M_alt 'C 1 2/m 1'
_space_group_IT_number 12
loop_
_space_group_symop_operation_xyz
'x,y,z'
'-x,-y,-z'
'-x,y,-z'
'x,-y,z'
'x+1/2,y+1/2,z'
'-x+1/2,-y+1/2,-z'
'-x+1/2,y+1/2,-z'
'x+1/2,-y+1/2,z'
loop_
_atom_site_label
_atom_site_type_symbol
_atom_site_fract_x
_atom_site_fract_y
_atom_site_fract_z
La1 La 0.0541 0.0000 0.3331
La2 La 0.2234 0.5000 0.3333
Sm1 Sm 0.1673 0.0000 0.0002
Dy1 Dy 0.1116 0.5000 0.6700
Y1 Y 0.0000 0.5000 0.0000
```

Values from the calculation:
Volume ... 34.5 Å³/atom
Calculated formation energy ... 2.4 kJ per mole of atoms